[1]
An optimized crystal structure of ZrGaPtW2, computed with GGA-PBEsol.

total energy: -39.70 eV/f.u.
calculated formation energy: 1.46 eV/atom
calculated density: 10.7 Mg/m³

Cell lengths 4.7534, 4.7534, 4.9522 Å; angles 90.00, 90.00, 90.00 degrees
Closest atoms and distances in Å follow each position.
Sites, in units of the cell vectors:
Pt  0.0000  0.0000  0.0000  4 W 2.38, 2 Zr 2.48
W  0.5000  0.0000  0.0000  2 Pt 2.38
W  0.0000  0.5000  0.0000  2 Pt 2.38
Zr  0.0000  0.0000  0.5000  2 Pt 2.48
Ga  0.5000  0.5000  0.5000  4 Zr 3.36, 8 W 3.43

=====

[2]
An optimized crystal structure of LaTeO2, computed with GGA-PBEsol.

offset from the most stable computed form: 0.0 meV per atom
total energy: -25.59 eV/f.u.
calculated density: 5.8 Mg/m³
ΔE_f (raw): -1.56 eV/atom

Cell lengths 5.6853, 5.6853, 6.6485 Å; angles 115.31, 115.31, 90.00 degrees
Closest atoms and distances in Å follow each position.
Sites, in units of the cell vectors:
Te  0.5000  0.5000  0.0000  4 O 2.57
Te  0.7500  0.2500  0.5000  4 O 2.57
La  0.0000  0.0000  0.0000  4 O 2.26
La  0.2500  0.7500  0.5000  4 O 2.26
O  0.3293  0.8750  0.2500  2 La 2.26
O  0.6250  0.6707  0.7500  2 La 2.26
O  0.9207  0.3750  0.2500  2 La 2.26
O  0.1250  0.0793  0.7500  2 La 2.26

=====

[3]
An optimized crystal structure of Tb4C2Br3, computed with GGA-PBEsol.

total energy: -55.75 eV/f.u.
calculated density: 7.6 Mg/m³
ΔE_f (raw): -1.20 eV/atom

Cell lengths 3.6620, 10.6435, 20.1402 Å; angles 90.00, 90.00, 90.00 degrees
Closest atoms and distances in Å follow each position.
Sites, in units of the cell vectors:
Tb  0.2500  0.3703  0.0786  2 C 2.40
Tb  0.2500  0.3930  0.8307  3 C 2.44-2.51
Tb  0.2500  0.3626  0.6681  3 C 2.48-2.52
Tb  0.7500  0.6070  0.1693  3 C 2.44-2.51
Tb  0.7500  0.6272  0.7548  4 C 2.57-2.68
Tb  0.2500  0.8703  0.4214  2 C 2.40
Tb  0.2500  0.8626  0.8319  3 C 2.48-2.52
Tb  0.7500  0.1272  0.7452  4 C 2.57-2.68
Tb  0.2500  0.8728  0.2548  4 C 2.57-2.68
Tb  0.2500  0.8930  0.6693  3 C 2.44-2.51
Tb  0.7500  0.6297  0.9214  2 C 2.40
Tb  0.7500  0.1297  0.5786  2 C 2.40
Tb  0.7500  0.1070  0.3307  3 C 2.44-2.51
Tb  0.7500  0.6374  0.3319  3 C 2.48-2.52
Tb  0.2500  0.3728  0.2452  4 C 2.57-2.68
Tb  0.7500  0.1374  0.1681  3 C 2.48-2.52
Br  0.7500  0.3709  0.3588  4 Tb 2.87-2.93
Br  0.2500  0.6156  0.4461  3 Tb 2.76-2.95
Br  0.2500  0.1156  0.0539  3 Tb 2.76-2.95
Br  0.7500  0.8709  0.1412  4 Tb 2.87-2.93
Br  0.2500  0.6328  0.0460  5 Tb 2.87-3.11
Br  0.2500  0.1328  0.4540  5 Tb 2.87-3.11
Br  0.2500  0.6291  0.6412  4 Tb 2.87-2.93
Br  0.7500  0.8844  0.9461  3 Tb 2.76-2.95
Br  0.2500  0.1291  0.8588  4 Tb 2.87-2.93
Br  0.7500  0.8672  0.5460  5 Tb 2.87-3.11
Br  0.7500  0.3672  0.9540  5 Tb 2.87-3.11
Br  0.7500  0.3844  0.5539  3 Tb 2.76-2.95
C  0.7500  0.8786  0.7490  6 Tb 2.44-2.68
C  0.2500  0.6270  0.8442  6 Tb 2.40-2.57
C  0.7500  0.8730  0.3442  6 Tb 2.40-2.57
C  0.2500  0.1214  0.2510  6 Tb 2.44-2.68
C  0.7500  0.3730  0.1558  6 Tb 2.40-2.57
C  0.2500  0.6214  0.2490  6 Tb 2.44-2.68
C  0.2500  0.1270  0.6558  6 Tb 2.40-2.57
C  0.7500  0.3786  0.7510  6 Tb 2.44-2.68

=====

[4]
An optimized crystal structure of Ir2Se, computed with GGA-PBEsol.

offset from the most stable computed form: 39.6 meV per atom
total energy: -22.31 eV/f.u.
calculated density: 16.1 Mg/m³
ΔE_f (raw): 0.40 eV/atom

Cell lengths 2.7775, 5.7141, 6.7325 Å; angles 111.65, 90.00, 104.07 degrees
Closest atoms and distances in Å follow each position.
Sites, in units of the cell vectors:
Ir  0.6289  0.2577  0.3133  4 Se 2.58-2.66, 7 Ir 2.77-2.79
Ir  0.6542  0.3084  0.7413  4 Se 2.59-2.60, 7 Ir 2.65-2.83
Ir  0.0049  0.0098  0.9343  1 Se 2.42, 2 Ir 2.62
Ir  0.3249  0.6498  0.6362  8 Ir 2.62-2.79, 2 Se 2.85
Se  0.9792  0.9584  0.4472  6 Ir 2.58-2.85, 2 Se 2.78
Se  0.2412  0.4825  0.0943  5 Ir 2.42-2.66